# 1
DFT (PBE) results for a relaxed CdTe2Ru crystal.

a b c (Å): 6.4825 6.4825 11.7298
angles (deg): 90.00 90.00 90.00
Last column: nearest neighbours and their distance in Å.
Space group I-42d (No. 122)
One atom of each set of equivalent atoms:
Cd 0.0000 0.0000 0.0000  4 Te 2.91
Te 0.2038 0.2500 0.6250  2 Ru 2.55
Ru 0.0000 0.0000 0.5000  4 Te 2.55

## Properties
Offset from the most stable computed form (eV per atom): 0.111
Formation energy (no corrections) (kcal/mol of atoms): 1.74

# 2
DFT (PBE) results for a relaxed CdTe2Ru crystal.

a b c (Å): 5.3247 3.9889 5.8130
angles (deg): 90.00 117.18 90.00
Last column: nearest neighbours and their distance in Å.
Space group P2/m (No. 10)
One atom of each set of equivalent atoms:
Cd 0.0000 0.0000 0.0000  2 Ru 2.66
Te 0.3358 0.5000 0.6715  2 Ru 2.62
Ru 0.5000 0.0000 0.0000  4 Te 2.62, 2 Cd 2.66

## Properties
Offset from the most stable computed form (eV per atom): 0.050
Formation energy (no corrections) (kcal/mol of atoms): 0.33

# 3
DFT (PBE) results for a relaxed CdTe2Ru2 crystal.

a b c (Å): 4.0986 4.0986 16.5637
angles (deg): 90.00 90.00 90.00
Last column: nearest neighbours and their distance in Å.
Space group I4/mmm (No. 139)
One atom of each set of equivalent atoms:
Cd 0.0000 0.0000 0.0000  8 Te 3.86, 4 Cd 4.10
Te 0.0000 0.0000 0.3456  4 Ru 2.59
Ru 0.0000 0.5000 0.2500  4 Te 2.59, 4 Ru 2.90

## Properties
Formation energy (no corrections) (kcal/mol of atoms): 0.47

# 4
DFT (PBE) results for a relaxed CdTe4Ru crystal.

a b c (Å): 8.8973 8.8973 8.8973
angles (deg): 90.00 90.00 90.00
Last column: nearest neighbours and their distance in Å.
Space group F-43m (No. 216)
One atom of each set of equivalent atoms:
Cd 0.0000 0.0000 0.0000  12 Te 3.69, 4 Ru 3.85
Te 0.1249 0.1249 0.3751  6 Te 3.14-3.15
Ru 0.2500 0.2500 0.7500  12 Te 3.69, 4 Cd 3.85

## Properties
Formation energy (no corrections) (kcal/mol of atoms): 22.45

# 5
DFT (PBE) results for a relaxed CdTeRu3 crystal.

a b c (Å): 4.8094 4.8094 4.8094
angles (deg): 90.00 90.00 90.00
Last column: nearest neighbours and their distance in Å.
Space group Pm-3m (No. 221)
One atom of each set of equivalent atoms:
Cd 0.0000 0.0000 0.0000  12 Ru 3.40
Te 0.5000 0.5000 0.5000  6 Ru 2.40
Ru 0.0000 0.5000 0.5000  2 Te 2.40

## Properties
Offset from the most stable computed form (eV per atom): 0.000
Formation energy (no corrections) (kcal/mol of atoms): 29.80

# 6
DFT (PBE) results for a relaxed CdTe2Ru crystal.

a b c (Å): 6.8290 3.9505 7.7300
angles (deg): 90.00 107.27 90.00
Last column: nearest neighbours and their distance in Å.
Space group C2/m (No. 12)
One atom of each set of equivalent atoms:
Cd 0.0000 0.0000 0.0000  6 Te 3.21
Te 0.2315 0.0000 0.6940  3 Ru 2.69
Ru 0.0000 0.5000 0.5000  6 Te 2.69

## Properties
Offset from the most stable computed form (eV per atom): 0.000
Formation energy (no corrections) (kcal/mol of atoms): -0.82

# 7
DFT (PBE) results for a relaxed CdTe2Ru crystal.

a b c (Å): 10.1314 3.4266 6.6815
angles (deg): 90.00 112.38 90.00
Last column: nearest neighbours and their distance in Å.
Space group Cm (No. 8)
One atom of each set of equivalent atoms:
Cd 0.0000 0.0000 0.0000  3 Ru 2.81-2.83
Te 0.1966 0.0000 0.6960  2 Ru 2.62
Te 0.3798 0.0000 0.2993  2 Ru 2.64
Ru 0.2217 0.5000 0.0056  4 Te 2.62-2.64, 3 Cd 2.81-2.83

## Properties
Offset from the most stable computed form (eV per atom): 0.077
Formation energy (no corrections) (kcal/mol of atoms): 0.95

# 8
DFT (PBE) results for a relaxed CdTe2Ru crystal.

a b c (Å): 4.0598 4.0598 24.6946
angles (deg): 90.00 90.00 120.00
Last column: nearest neighbours and their distance in Å.
Space group R-3m (No. 166, hexagonal axes)
One atom of each set of equivalent atoms:
Cd 0.0000 0.0000 0.0000  2 Te 2.83
Te 0.0000 0.0000 0.1145  3 Ru 2.67, 1 Cd 2.83
Ru 0.0000 0.0000 0.5000  6 Te 2.67

## Properties
Offset from the most stable computed form (eV per atom): 0.020
Formation energy (no corrections) (kcal/mol of atoms): -0.36

# 9
DFT (PBE) results for a relaxed CdTe2Ru crystal.

a b c (Å): 3.2217 4.4813 13.3341
angles (deg): 90.00 90.00 90.00
Last column: nearest neighbours and their distance in Å.
Space group Imm2 (No. 44)
One atom of each set of equivalent atoms:
Cd 0.0000 0.0000 0.0000  6 Te 3.08-3.28, 2 Ru 3.21, 2 Cd 3.22
Te 0.0000 0.0000 0.3667  2 Ru 2.66
Te 0.0000 0.5000 0.1590  4 Ru 2.84, 2 Cd 3.08
Ru 0.0000 0.5000 0.7081  6 Te 2.66-2.84

## Properties
Offset from the most stable computed form (eV per atom): 0.184
Formation energy (no corrections) (kcal/mol of atoms): 3.43

# 10
DFT (PBE) results for a relaxed CdTe2Ru crystal.

a b c (Å): 3.1733 3.1733 9.6093
angles (deg): 90.00 90.00 90.00
Last column: nearest neighbours and their distance in Å.
Space group P4mm (No. 99)
One atom of each set of equivalent atoms:
Cd 0.0000 0.0000 0.0000  4 Ru 2.96, 4 Cd 3.17
Te 0.0000 0.0000 0.3551  4 Ru 2.69
Te 0.5000 0.5000 0.7168  4 Te 3.17, 4 Cd 3.53
Ru 0.5000 0.5000 0.2013  4 Te 2.69, 4 Cd 2.96

## Properties
Offset from the most stable computed form (eV per atom): 0.043
Formation energy (no corrections) (kcal/mol of atoms): 0.18

# 11
DFT (PBE) results for a relaxed CdTe2Ru crystal.

a b c (Å): 4.3160 4.3160 9.4559
angles (deg): 90.00 90.00 90.00
Last column: nearest neighbours and their distance in Å.
Space group I-4m2 (No. 119)
One atom of each set of equivalent atoms:
Cd 0.0000 0.0000 0.0000  8 Te 3.05-3.20, 4 Ru 3.20
Te 0.0000 0.0000 0.5000  4 Cd 3.05, 4 Ru 3.20, 4 Te 3.20
Te 0.0000 0.5000 0.2500  4 Ru 3.05, 4 Cd 3.20, 4 Te 3.20
Ru 0.0000 0.5000 0.7500  8 Te 3.05-3.20, 4 Cd 3.20

## Properties
Offset from the most stable computed form (eV per atom): 0.569
Formation energy (no corrections) (kcal/mol of atoms): 12.31

# 12
DFT (PBE) results for a relaxed CdTeRu4 crystal.

a b c (Å): 7.4478 7.4478 7.4478
angles (deg): 90.00 90.00 90.00
Last column: nearest neighbours and their distance in Å.
Space group F-43m (No. 216)
One atom of each set of equivalent atoms:
Cd 0.0000 0.0000 0.0000  12 Ru 3.09, 4 Te 3.22
Te 0.2500 0.2500 0.2500  12 Ru 3.09, 4 Cd 3.22
Ru 0.1248 0.1248 0.6248  6 Ru 2.63-2.64

## Properties
Formation energy (no corrections) (kcal/mol of atoms): 13.49

Number 1: spin magnetization 0.00 Bohr magnetons per cell. Number 2: spin magnetization 0.00 Bohr magnetons per cell. Number 3: spin magnetization 0.00 Bohr magnetons per cell. Number 4: spin magnetization 11.27 Bohr magnetons per cell. Number 5: spin magnetization 2.02 Bohr magnetons per cell. Number 6: spin magnetization 0.00 Bohr magnetons per cell. Number 7: spin magnetization 0.04 Bohr magnetons per cell. Number 8: spin magnetization 0.00 Bohr magnetons per cell. Number 9: spin magnetization 0.00 Bohr magnetons per cell. Number 10: spin magnetization 0.00 Bohr magnetons per cell. Number 11: spin magnetization 0.00 Bohr magnetons per cell. Number 12: spin magnetization 6.66 Bohr magnetons per cell.